# ZrFeCu2 PBE-GGA optimized geometry
data_ZrFeCu2
_chemical_formula_sum 'Zr1 Fe1 Cu2'
_symmetry_space_group_name_H-M 'P 1 m 1'
_symmetry_Int_Tables_number 6
_cell_length_a 2.718
_cell_length_b 4.240
_cell_length_c 5.095
_cell_angle_alpha 90.00
_cell_angle_beta 97.03
_cell_angle_gamma 90.00
loop_
_symmetry_equiv_pos_as_xyz
'x,y,z'
'x,-y,z'
loop_
_atom_site_label
_atom_site_fract_x
_atom_site_fract_y
_atom_site_fract_z
Zr1 0.000 0.000 0.000
Fe1 0.221 0.500 0.685
Cu1 0.578 0.500 0.244
Cu2 0.581 0.000 0.501
# **Energy**: -6.1858 eV per atom
# **Calculated volume**: 58.3 Å³ per cell